(1)
DFT (SCAN) results for a PBEsol-optimized structure of LaTcPt4.

Its spin magnetization is 4.4 μB per formula unit. The crystal system is cubic. The value obtained for the formation energy from the elements is -479.8 meV/atom.

```
data_LaTcPt4
_chemical_formula_sum 'La4 Tc4 Pt16'
_space_group_name_H-M_alt 'F -4 3 m'
_space_group_IT_number 216
_space_group_name_Hall 'F -4 2 3'
_cell_length_a 7.5400
_cell_length_b 7.5400
_cell_length_c 7.5400
_cell_angle_alpha 90.00
_cell_angle_beta 90.00
_cell_angle_gamma 90.00
loop_
_atom_site_label
_atom_site_fract_x
_atom_site_fract_y
_atom_site_fract_z
_atom_site_occupancy
La1 0.0000 0.0000 0.0000 1
Tc1 0.2500 0.2500 0.7500 1
Pt1 0.1245 0.1245 0.3755 1
```

(2)
DFT (SCAN) results for a PBEsol-optimized structure of La2TcPt.

Its spin magnetization is 0.0 μB per formula unit. The crystal system is tetragonal. The value obtained for the formation energy from the elements is -443.4 meV/atom.

```
data_La2TcPt
_chemical_formula_sum 'La2 Tc1 Pt1'
_space_group_name_H-M_alt 'P 4/m m m'
_space_group_IT_number 123
_space_group_name_Hall '-P 4 2'
_cell_length_a 3.6122
_cell_length_b 3.6122
_cell_length_c 6.8654
_cell_angle_alpha 90.00
_cell_angle_beta 90.00
_cell_angle_gamma 90.00
loop_
_atom_site_label
_atom_site_fract_x
_atom_site_fract_y
_atom_site_fract_z
_atom_site_occupancy
La1 0.0000 0.0000 0.2469 1
Tc1 0.5000 0.5000 0.0000 1
Pt1 0.5000 0.5000 0.5000 1
```

(3)
DFT (SCAN) results for a PBEsol-optimized structure of La2TcPt.

Its spin magnetization is 0.0 μB per formula unit. The crystal system is orthorhombic. The value obtained for the formation energy from the elements is -337.4 meV/atom.

```
data_La2TcPt
_chemical_formula_sum 'La4 Tc2 Pt2'
_space_group_name_H-M_alt 'I m m 2'
_space_group_IT_number 44
_cell_length_a 3.3684
_cell_length_b 4.6097
_cell_length_c 11.7308
_cell_angle_alpha 90.00
_cell_angle_beta 90.00
_cell_angle_gamma 90.00
loop_
_space_group_symop_operation_xyz
'x,y,z'
'-x,-y,z'
'-x,y,z'
'x,-y,z'
'x+1/2,y+1/2,z+1/2'
'-x+1/2,-y+1/2,z+1/2'
'-x+1/2,y+1/2,z+1/2'
'x+1/2,-y+1/2,z+1/2'
loop_
_atom_site_label
_atom_site_fract_x
_atom_site_fract_y
_atom_site_fract_z
_atom_site_occupancy
La1 0.0000 0.0000 0.0000 1
La2 0.0000 0.5000 0.2112 1
Tc1 0.0000 0.5000 0.7570 1
Pt1 0.0000 0.0000 0.4311 1
```

(4)
DFT (SCAN) results for a PBEsol-optimized structure of La4TePt.

Its spin magnetization is 0.0 μB per formula unit. The calculation puts the formation energy without anion corrections at -0.07 eV/atom. The crystal system is cubic.

```
data_La4TePt
_chemical_formula_sum 'La16 Te4 Pt4'
_space_group_name_H-M_alt 'F -4 3 m'
_space_group_IT_number 216
_space_group_name_Hall 'F -4 2 3'
_cell_length_a 8.7159
_cell_length_b 8.7159
_cell_length_c 8.7159
_cell_angle_alpha 90.00
_cell_angle_beta 90.00
_cell_angle_gamma 90.00
loop_
_atom_site_label
_atom_site_fract_x
_atom_site_fract_y
_atom_site_fract_z
_atom_site_occupancy
La1 0.1241 0.1241 0.1241 1
Te1 0.2500 0.2500 0.7500 1
Pt1 0.0000 0.0000 0.5000 1
```

(5)
DFT (SCAN) results for a PBEsol-optimized structure of LaTe2Pt.

Its energy above the lowest structure with this stoichiometry is 727.4 meV per atom. Its spin magnetization is 0.0 μB per formula unit. The calculation puts the formation energy without anion corrections at -0.44 eV/atom. The crystal system is tetragonal.

```
data_LaTe2Pt
_chemical_formula_sum 'La1 Te2 Pt1'
_space_group_name_H-M_alt 'P 4/m m m'
_space_group_IT_number 123
_space_group_name_Hall '-P 4 2'
_cell_length_a 3.8457
_cell_length_b 3.8457
_cell_length_c 6.6184
_cell_angle_alpha 90.00
_cell_angle_beta 90.00
_cell_angle_gamma 90.00
loop_
_atom_site_label
_atom_site_fract_x
_atom_site_fract_y
_atom_site_fract_z
_atom_site_occupancy
La1 0.0000 0.0000 0.0000 1
Te1 0.5000 0.5000 0.2726 1
Pt1 0.0000 0.0000 0.5000 1
```

(6)
DFT (SCAN) results for a PBEsol-optimized structure of LaTe2Pt.

Its energy above the lowest structure with this stoichiometry is 0.0 meV per atom. Its spin magnetization is 0.0 μB per formula unit. The calculation puts the formation energy without anion corrections at -1.16 eV/atom. The crystal system is orthorhombic.

```
data_LaTe2Pt
_chemical_formula_sum 'La2 Te4 Pt2'
_space_group_name_H-M_alt 'A m m 2'
_space_group_IT_number 38
_cell_length_a 4.1382
_cell_length_b 4.2377
_cell_length_c 12.9549
_cell_angle_alpha 90.00
_cell_angle_beta 90.00
_cell_angle_gamma 90.00
loop_
_space_group_symop_operation_xyz
'x,y,z'
'-x,-y,z'
'-x,y,z'
'x,-y,z'
'x,y+1/2,z+1/2'
'-x,-y+1/2,z+1/2'
'-x,y+1/2,z+1/2'
'x,-y+1/2,z+1/2'
loop_
_atom_site_label
_atom_site_fract_x
_atom_site_fract_y
_atom_site_fract_z
_atom_site_occupancy
La1 0.0000 0.0000 0.0000 1
Te1 0.0000 0.0000 0.7132 1
Te2 0.5000 0.0000 0.3902 1
Pt1 0.5000 0.0000 0.5918 1
```